# 1
# ZnB2S4

Crystalline ZnB2S4 at its relaxed geometry (PBE-GGA, Alexandria via LeMat-Bulk).

Properties
The formation energy from raw total energies is -0.387 eV per atom.

Cell lengths 6.835, 6.835, 5.205 Å; angles 90.00, 90.00, 90.00 degrees
Fractional coordinates of all 14 atoms:
Zn 0.000 0.000 0.000
Zn 0.500 0.500 0.500
B 0.000 0.500 0.250
B 0.000 0.500 0.750
B 0.500 0.000 0.250
B 0.500 0.000 0.750
S 0.134 0.339 0.000
S 0.161 0.634 0.500
S 0.339 0.866 0.000
S 0.366 0.161 0.500
S 0.634 0.839 0.500
S 0.661 0.134 0.000
S 0.839 0.366 0.500
S 0.866 0.661 0.000

---

# 2
# KAsF3

Crystalline KAsF3 at its relaxed geometry (PBE-GGA, Alexandria via LeMat-Bulk).

Properties
As for the energy above the most stable polymorph in this dataset: 4.4 kJ/mol of atoms. The formation energy from raw total energies is -2.160 eV per atom.

Cell lengths 7.411, 3.254, 8.200 Å; angles 90.00, 100.03, 90.00 degrees
Fractional coordinates of all 10 atoms:
K 0.227 0.000 0.324
K 0.773 0.000 0.676
As 0.318 0.500 0.814
As 0.682 0.500 0.186
F 0.049 0.500 0.746
F 0.329 0.500 0.589
F 0.403 0.500 0.156
F 0.597 0.500 0.844
F 0.671 0.500 0.411
F 0.951 0.500 0.254

---

The records above yield calculated volume values of 17.37 19.47 Å³/atom, respectively.